# 1
The following is a DFT calculation (GGA-PBE) of crystalline RbHf6S12 at its relaxed geometry.

Results
As for the formation energy from raw total energies: -1262.4 meV/atom.

Lattice parameters (Å, degrees): 7.794 7.794 7.794 105.80 105.80 105.80
Positions (direct):
S  0.124  0.500  0.876
S  0.831  0.561  0.561
Hf  0.742  0.742  0.353
Hf  0.742  0.353  0.742
S  0.561  0.831  0.561
Rb  0.000  0.000  0.000
Hf  0.353  0.742  0.742
S  0.876  0.124  0.500
S  0.561  0.561  0.831
S  0.876  0.500  0.124
Hf  0.647  0.258  0.258
S  0.500  0.124  0.876
S  0.500  0.876  0.124
S  0.439  0.169  0.439
Hf  0.258  0.258  0.647
S  0.169  0.439  0.439
Hf  0.258  0.647  0.258
S  0.124  0.876  0.500
S  0.439  0.439  0.169

# 2
The following is a DFT calculation (GGA-PBE) of crystalline Pu2TaS6 at its relaxed geometry.

Results
As for the formation energy from raw total energies: -1166.6 meV/atom.

Lattice parameters (Å, degrees): 6.190 6.190 11.665 90.00 90.00 90.00
Last column: magnetic moment on the atom in μB.
Positions (direct):
Pu  0.000  0.000  0.671  -4.77
Pu  0.000  0.000  0.329  -4.77
S  0.192  0.808  0.850  0.12
S  0.808  0.192  0.850  0.12
Pu  0.500  0.500  0.829  -4.77
Ta  0.000  0.000  0.000  -0.22
Ta  0.500  0.500  0.500  -0.22
S  0.211  0.789  0.500  0.15
S  0.308  0.308  0.350  0.12
S  0.692  0.692  0.650  0.12
S  0.808  0.192  0.150  0.12
S  0.308  0.308  0.650  0.12
S  0.692  0.692  0.350  0.12
S  0.789  0.211  0.500  0.15
S  0.289  0.289  0.000  0.15
S  0.711  0.711  0.000  0.15
S  0.192  0.808  0.150  0.12
Pu  0.500  0.500  0.171  -4.77

# 3
The following is a DFT calculation (GGA-PBE) of crystalline IrPbSe2Cl at its relaxed geometry.

Results
As for the formation energy from raw total energies: 1215.6 meV/atom.

Lattice parameters (Å, degrees): 5.481 5.145 5.481 90.00 90.00 90.00
Last column: magnetic moment on the atom in μB.
Positions (direct):
Ir  0.500  0.500  0.500  2.24
Pb  0.000  0.000  0.000  -0.01
Se  0.000  0.000  0.500  0.09
Cl  0.000  0.500  0.000  0.01
Se  0.500  0.000  0.000  0.09

# 4
The following is a DFT calculation (GGA-PBE) of crystalline Mn2FeIrN at its relaxed geometry.

Results
As for the formation energy from raw total energies: -84.2 meV/atom.

Lattice parameters (Å, degrees): 3.922 3.922 3.786 90.00 90.00 90.00
Last column: magnetic moment on the atom in μB.
Positions (direct):
Mn  0.500  0.000  0.000  2.81
Ir  0.500  0.500  0.500  0.34
Mn  0.000  0.500  0.000  2.81
N  0.000  0.000  0.000  -0.04
Fe  0.000  0.000  0.500  2.36

# 5
The following is a DFT calculation (GGA-PBE) of crystalline Co2PPt at its relaxed geometry.

Results
The calculation puts the formation enthalpy at 0 K at -21 kJ/mol of formula units.

Lattice parameters (Å, degrees): 3.661 3.661 3.571 90.00 90.00 90.00
Last column: magnetic moment on the atom in μB.
Positions (direct):
Pt  0.000  0.500  0.500  0.03
Co  0.000  0.000  0.000  0.36
Co  0.500  0.500  0.000  0.36
P  0.500  0.000  0.500  -0.02

# 6
The following is a DFT calculation (GGA-PBE) of crystalline Ti2CuPd at its relaxed geometry.

Results
The calculation puts the formation enthalpy at 0 K at -111 kJ/mol of formula units.

Lattice parameters (Å, degrees): 2.807 6.185 8.257 98.90 109.87 62.95
Last column: magnetic moment on the atom in μB.
Positions (direct):
Cu  0.581  0.280  0.485  0.01
Ti  0.586  0.523  0.235  0.29
Ti  0.074  0.036  0.235  0.29
Ti  0.574  0.036  0.735  0.29
Pd  0.080  0.780  0.485  0.01
Cu  0.081  0.280  0.986  0.01
Pd  0.580  0.780  0.985  0.01
Ti  0.086  0.523  0.735  0.29

For reference, total magnetization by record: 0.002; 9.000; 2.740; 8.405; 0.689; 0.700 μB per formula unit.